GGA-PBE Er7Sc12In, relaxed; formation energy from the elements = 164 meV/atom; N(E_F) = 2.16 states/eV/atom; calculated total energy = -5.37 eV per atom; size of the total moment = 3.88 Bohr magnetons per cell
1.0
-5.911 5.639 -0.612
-5.295 -5.895 -2.076
-1.756 -1.100 7.925
Er Sc In
7 12 1
direct
0.848 0.621 0.960 Er
0.379 0.040 0.152 Er
0.040 0.152 0.379 Er
0.500 0.500 0.500 Er
0.960 0.848 0.621 Er
0.621 0.960 0.848 Er
0.152 0.379 0.040 Er
0.872 0.273 0.743 Sc
0.727 0.257 0.128 Sc
0.622 0.147 0.495 Sc
0.853 0.505 0.378 Sc
0.257 0.128 0.727 Sc
0.505 0.378 0.853 Sc
0.495 0.622 0.147 Sc
0.743 0.872 0.273 Sc
0.147 0.495 0.622 Sc
0.378 0.853 0.505 Sc
0.273 0.743 0.872 Sc
0.128 0.727 0.257 Sc
0.000 0.000 0.000 In